VASP calculation (PBE) on a relaxed CeCoPd2 crystal.

```
4
Lattice="4.0078 0.0000 0.0000 0.0000 4.0078 0.0000 0.0000 0.0000 4.1785" Properties=species:S:1:pos:R:3 pbc="T T T"
Ce 0.0000 0.0000 0.0000
Co 2.0039 2.0039 0.0000
Pd 0.0000 2.0039 2.0892
Pd 2.0039 0.0000 2.0892
```

Space group: P4/mmm (123)
Energy relative to the elements (eV/atom): -0.49

VASP calculation (PBE) on a relaxed CeCoPd crystal.

```
3
Lattice="4.2703 0.0000 0.0000 -2.1351 3.6982 0.0000 0.0000 0.0000 3.7250" Properties=species:S:1:pos:R:3 pbc="T T T"
Ce 0.0000 0.0000 0.0000
Co 2.1352 1.2327 1.8625
Pd 0.0000 2.4655 1.8625
```

Space group: P-6m2 (187)
Energy relative to the elements (eV/atom): -0.29

VASP calculation (PBE) on a relaxed Ce6Co2Pd crystal.

```
18
Lattice="-4.5484 4.7889 4.8349 4.5484 -4.7889 4.8349 4.5484 4.7889 -4.8349" Properties=species:S:1:pos:R:3 pbc="T T T"
Ce 4.5484 -2.4445 2.9917
Ce 2.7259 0.0000 1.6903
Ce 6.3708 0.0000 1.6903
Ce 2.8716 3.3395 0.0000
Ce 1.6768 -1.4494 4.8349
Ce 0.0000 2.3444 1.8432
Ce 4.5484 2.4445 2.9917
Ce 2.8716 6.2384 0.0000
Ce 1.6768 1.4494 4.8349
Ce -1.8224 4.7889 3.1446
Ce 1.8224 4.7889 3.1446
Ce 0.0000 7.2335 1.8432
Co 4.5484 1.3888 0.0000
Co 0.0000 0.0000 2.7745
Co 0.0000 0.0000 6.8953
Co 0.0000 3.4002 4.8349
Pd 0.0000 0.0000 0.0000
Pd 0.0000 4.7889 0.0000
```

Space group: Immm (71)
Energy relative to the elements (eV/atom): -0.20